1.
## Cs4In4Sn (PBE)

Data for a relaxed Cs4In4Sn crystal.

a = 6.7044 Å, b = 6.7044 Å, c = 21.6369 Å
α = 90.00°, β = 90.00°, γ = 90.00°
Space group I-42m (No. 121)
One atom of each set of equivalent atoms:
Cs (0.2368, 0.2368, 0.1483) [8 per cell]
In (0.2020, 0.2020, 0.4610) [8 per cell]
Sn (0.0000, 0.0000, 0.0000) [2 per cell]

Calculated values
**M_tot**: 0.00 μB per formula unit
**DFT formation energy**: -0.012 eV per atom
**Mass density**: 3.79 g/cm3


2.
## AcYCdPt (PBE)

Data for a relaxed AcYCdPt crystal.

a = 7.5554 Å, b = 7.5554 Å, c = 7.5554 Å
α = 90.00°, β = 90.00°, γ = 90.00°
Space group F-43m (No. 216)
One atom of each set of equivalent atoms:
Ac (0.0000, 0.0000, 0.0000) [4 per cell]
Y (0.0000, 0.0000, 0.5000) [4 per cell]
Cd (0.2500, 0.2500, 0.7500) [4 per cell]
Pt (0.2500, 0.2500, 0.2500) [4 per cell]

Calculated values
**M_tot**: 0.00 μB per formula unit
**DFT formation energy**: -0.593 eV per atom
**Mass density**: 9.60 g/cm3


3.
## Ba2MnCo (PBE)

Data for a relaxed Ba2MnCo crystal.

a = 4.2574 Å, b = 4.7525 Å, c = 13.1262 Å
α = 90.00°, β = 90.00°, γ = 90.00°
Space group Amm2 (No. 38)
One atom of each set of equivalent atoms:
Ba (0.0000, 0.0000, 0.0000) [2 per cell]
Ba (0.5000, 0.0000, 0.2712) [2 per cell]
Mn (0.5000, 0.0000, 0.5916) [2 per cell]
Co (0.0000, 0.0000, 0.6699) [2 per cell]

Calculated values
**Energy relative to the lowest polymorph listed for this composition**: 107.1 meV per atom
**M_tot**: 4.25 μB per formula unit
**DFT formation energy**: 0.426 eV per atom
**Mass density**: 4.86 g/cm3


4.
## Tl2Ga2Ag (PBE)

Data for a relaxed Tl2Ga2Ag crystal.

a = 6.8995 Å, b = 6.8995 Å, c = 5.0460 Å
α = 90.00°, β = 90.00°, γ = 90.00°
Space group P4/mbm (No. 127)
One atom of each set of equivalent atoms:
Tl (0.1798, 0.3202, 0.0000) [4 per cell]
Ga (0.1358, 0.6358, 0.5000) [4 per cell]
Ag (0.0000, 0.0000, 0.5000) [2 per cell]

Calculated values
**Energy relative to the lowest polymorph listed for this composition**: 0.0 meV per atom
**M_tot**: 0.00 μB per formula unit
**DFT formation energy**: 0.077 eV per atom
**Mass density**: 9.07 g/cm3


5.
## ScP2O2 (PBE)

Data for a relaxed ScP2O2 crystal.

a = 3.8644 Å, b = 3.8644 Å, c = 6.0778 Å
α = 90.00°, β = 90.00°, γ = 90.00°
Space group P4/mmm (No. 123)
One atom of each set of equivalent atoms:
Sc (0.0000, 0.0000, 0.0000) [1 per cell]
P (0.0000, 0.0000, 0.5000) [1 per cell]
P (0.5000, 0.5000, 0.5000) [1 per cell]
O (0.0000, 0.5000, 0.0000) [2 per cell]

Calculated values
**Energy relative to the lowest polymorph listed for this composition**: 613.5 meV per atom
**M_tot**: 1.56 μB per formula unit
**Raw formation energy**: -649 meV per atom
**Mass density**: 2.54 g/cm3


6.
## Mg14TiCo (PBE)

Data for a relaxed Mg14TiCo crystal.

a = 6.2621 Å, b = 6.2621 Å, c = 9.9275 Å
α = 90.00°, β = 90.00°, γ = 120.00°
Space group P-6m2 (No. 187)
One atom of each set of equivalent atoms:
Mg (0.0000, 0.0000, 0.2429) [2 per cell]
Mg (0.0158, 0.5079, 0.2599) [6 per cell]
Mg (0.3295, 0.1648, 0.5000) [3 per cell]
Mg (0.3400, 0.1700, 0.0000) [3 per cell]
Ti (0.3333, 0.6667, 0.0000) [1 per cell]
Co (0.3333, 0.6667, 0.5000) [1 per cell]

Calculated values
**Energy relative to the lowest polymorph listed for this composition**: 13.3 meV per atom
**M_tot**: 2.52 μB per formula unit
**DFT formation energy**: 0.098 eV per atom
**Mass density**: 2.20 g/cm3


7.
## LiCu2Pt2 (PBE)

Data for a relaxed LiCu2Pt2 crystal.

a = 4.1154 Å, b = 5.4349 Å, c = 6.6448 Å
α = 90.00°, β = 90.00°, γ = 90.00°
Space group Immm (No. 71)
One atom of each set of equivalent atoms:
Li (0.0000, 0.0000, 0.0000) [2 per cell]
Cu (0.0000, 0.5000, 0.1830) [4 per cell]
Pt (0.0000, 0.2388, 0.5000) [4 per cell]

Calculated values
**Energy relative to the lowest polymorph listed for this composition**: 105.4 meV per atom
**M_tot**: 0.00 μB per formula unit
**DFT formation energy**: -0.075 eV per atom
**Mass density**: 11.71 g/cm3


8.
## PbCS3 (PBE)

Data for a relaxed PbCS3 crystal.

a = 4.3710 Å, b = 4.3710 Å, c = 4.3710 Å
α = 90.00°, β = 90.00°, γ = 90.00°
Space group Pm-3m (No. 221)
One atom of each set of equivalent atoms:
Pb (0.0000, 0.0000, 0.0000) [1 per cell]
C (0.5000, 0.5000, 0.5000) [1 per cell]
S (0.0000, 0.5000, 0.5000) [3 per cell]

Calculated values
**Energy relative to the lowest polymorph listed for this composition**: 0.0 meV per atom
**M_tot**: 0.00 μB per formula unit
**Raw formation energy**: 901 meV per atom
**Mass density**: 6.27 g/cm3


9.
## Na5Bi2 (PBE)

Data for a relaxed Na5Bi2 crystal.

a = 9.4499 Å, b = 5.4188 Å, c = 9.2442 Å
α = 90.00°, β = 110.35°, γ = 90.00°
Space group C2/m (No. 12)
One atom of each set of equivalent atoms:
Na (0.0000, 0.0000, 0.0000) [2 per cell]
Na (0.1127, 0.5000, 0.8368) [4 per cell]
Na (0.1310, 0.0000, 0.3950) [4 per cell]
Bi (0.2415, 0.5000, 0.2272) [4 per cell]

Calculated values
**Energy relative to the lowest polymorph listed for this composition**: 4.2 meV per atom
**M_tot**: 0.00 μB per formula unit
**DFT formation energy**: -0.311 eV per atom
**Mass density**: 3.99 g/cm3


10.
## Nd4Co2H (PBE)

Data for a relaxed Nd4Co2H crystal.

a = 14.0767 Å, b = 3.8426 Å, c = 6.0130 Å
α = 90.00°, β = 100.26°, γ = 90.00°
Space group C2/m (No. 12)
One atom of each set of equivalent atoms:
Nd (0.0818, 0.0000, 0.2756) [4 per cell]
Nd (0.1563, 0.5000, 0.8152) [4 per cell]
Co (0.2362, 0.5000, 0.3825) [4 per cell]
H (0.0000, 0.5000, 0.0000) [2 per cell]

Calculated values
**Energy relative to the lowest polymorph listed for this composition**: 0.0 meV per atom
**M_tot**: 0.41 μB per formula unit
**Mass density**: 7.22 g/cm3


11.
## Zn2SeBr (PBE)

Data for a relaxed Zn2SeBr crystal.

a = 3.6014 Å, b = 3.7280 Å, c = 14.3510 Å
α = 90.00°, β = 90.00°, γ = 90.00°
Space group Imm2 (No. 44)
One atom of each set of equivalent atoms:
Zn (0.0000, 0.0000, 0.0000) [2 per cell]
Zn (0.0000, 0.5000, 0.1742) [2 per cell]
Se (0.0000, 0.0000, 0.5240) [2 per cell]
Br (0.0000, 0.5000, 0.7542) [2 per cell]

Calculated values
**Energy relative to the lowest polymorph listed for this composition**: 121.6 meV per atom
**M_tot**: 0.00 μB per formula unit
**Raw formation energy**: -239 meV per atom
**Mass density**: 4.99 g/cm3


12.
## LiTlTc2 (PBE)

Data for a relaxed LiTlTc2 crystal.

a = 3.0949 Å, b = 3.0949 Å, c = 6.7073 Å
α = 90.00°, β = 90.00°, γ = 90.00°
Space group P4mm (No. 99)
One atom of each set of equivalent atoms:
Li (0.0000, 0.0000, 0.0000) [1 per cell]
Tl (0.5000, 0.5000, 0.7508) [1 per cell]
Tc (0.0000, 0.0000, 0.4324) [1 per cell]
Tc (0.5000, 0.5000, 0.2333) [1 per cell]

Calculated values
**Energy relative to the lowest polymorph listed for this composition**: 0.0 meV per atom
**M_tot**: 0.00 μB per formula unit
**DFT formation energy**: 0.158 eV per atom
**Mass density**: 10.53 g/cm3